Record 1
5
Lattice="4.876 0.000 0.000 0.000 4.876 0.000 0.000 0.000 4.876" Properties=species:S:1:pos:R:3 comment="PBE As3PdF, optimized geometry" space_group=Pm-3m e_above_lowest_polymorph_mev_per_atom=115 density_kg_m3=5017 raw_formation_energy_kj_per_mol_atoms=43.0 pbc="T T T"
As 0.000 0.000 2.438
As 0.000 2.438 0.000
As 2.438 0.000 0.000
Pd 0.000 0.000 0.000
F 2.438 2.438 2.438



Record 2
11
Lattice="6.023 -3.397 0.000 6.023 3.397 0.000 -1.476 0.000 4.523" Properties=species:S:1:pos:R:3 comment="PBE As2PdF8, optimized geometry" space_group=C2/m density_kg_m3=3662 raw_formation_energy_kj_per_mol_atoms=-174.7 pbc="T T T"
As 1.762 0.000 0.272
As 8.807 0.000 4.251
Pd 6.023 0.000 0.000
F 0.281 0.000 1.292
F 3.051 1.357 4.308
F 2.762 0.000 1.720
F 7.518 1.357 0.215
F 3.051 -1.357 4.308
F 7.807 0.000 2.804
F 7.518 -1.357 0.215
F 10.288 0.000 3.232



Record 3
5
Lattice="4.662 0.000 0.000 0.000 4.662 0.000 0.000 0.000 4.662" Properties=species:S:1:pos:R:3 comment="PBE AsPd3F, optimized geometry" space_group=Pm-3m e_above_lowest_polymorph_mev_per_atom=0 density_kg_m3=6769 raw_formation_energy_kj_per_mol_atoms=8.8 pbc="T T T"
As 0.000 0.000 0.000
Pd 0.000 0.000 2.331
Pd 0.000 2.331 0.000
Pd 2.331 0.000 0.000
F 2.331 2.331 2.331



Record 4
16
Lattice="5.189 0.000 0.000 0.000 9.082 0.000 -0.185 0.000 5.830" Properties=species:S:1:pos:R:3 comment="PBE AsPdF6, optimized geometry" space_group=C2/m density_kg_m3=3570 raw_formation_energy_kj_per_mol_atoms=-139.9 pbc="T T T"
As 0.000 0.000 0.000
As 2.595 4.541 0.000
Pd -0.093 0.000 2.915
Pd 2.502 4.541 2.915
F 0.658 1.300 1.583
F 0.658 7.782 1.583
F 0.999 4.541 1.217
F 1.411 0.000 4.612
F 1.751 3.241 4.247
F 1.751 5.841 4.247
F 3.253 3.241 1.583
F 3.253 5.841 1.583
F 3.594 0.000 1.217
F 4.005 4.541 4.612
F 4.346 1.300 4.247
F 4.346 7.782 4.247



Record 5
8
Lattice="4.101 0.000 0.000 0.000 4.101 0.000 0.000 0.000 8.637" Properties=species:S:1:pos:R:3 comment="PBE PrAsPdF, optimized geometry" space_group=P4/nmm density_kg_m3=7803 raw_formation_energy_kj_per_mol_atoms=-185.9 pbc="T T T"
Pr 1.025 1.025 1.594
Pr 3.075 3.075 7.044
As 1.025 1.025 5.883
As 3.075 3.075 2.755
Pd 1.025 3.075 4.319
Pd 3.075 1.025 4.319
F 1.025 3.075 0.000
F 3.075 1.025 0.000



Record 6
8
Lattice="3.997 0.000 0.000 0.000 3.997 0.000 0.000 0.000 8.708" Properties=species:S:1:pos:R:3 comment="PBE PuAsPdF, optimized geometry" space_group=P4/nmm density_kg_m3=10608 raw_formation_energy_kj_per_mol_atoms=-157.2 pbc="T T T"
Pu 0.999 0.999 1.612
Pu 2.998 2.998 7.096
As 0.999 0.999 6.008
As 2.998 2.998 2.700
Pd 0.999 2.998 4.354
Pd 2.998 0.999 4.354
F 0.999 2.998 0.000
F 2.998 0.999 0.000



Record 7
5
Lattice="4.763 0.000 0.000 0.000 4.763 0.000 0.000 0.000 4.643" Properties=species:S:1:pos:R:3 comment="PBE SrAsPd2F, optimized geometry" space_group=P4/mmm density_kg_m3=6218 raw_formation_energy_kj_per_mol_atoms=-96.7 pbc="T T T"
Sr 0.000 0.000 0.000
As 2.381 2.381 2.321
Pd 0.000 2.381 2.321
Pd 2.381 0.000 2.321
F 2.381 2.381 0.000



Record 8
6
Lattice="4.167 0.000 0.000 0.000 4.167 0.000 0.000 0.000 11.441" Properties=species:S:1:pos:R:3 comment="PBE PmAsF, optimized geometry" space_group=I4mm e_above_lowest_polymorph_mev_per_atom=638 density_kg_m3=3994 raw_formation_energy_kj_per_mol_atoms=-166.5 pbc="T T T"
Pm 0.000 0.000 0.000
Pm 2.083 2.083 5.720
As 0.000 0.000 5.141
As 2.083 2.083 10.861
F 0.000 0.000 2.075
F 2.083 2.083 7.795



Record 9
12
Lattice="9.476 0.000 0.000 0.000 4.315 0.000 -0.635 0.000 7.036" Properties=species:S:1:pos:R:3 comment="PBE PmAsF, optimized geometry" space_group=C2/m e_above_lowest_polymorph_mev_per_atom=89 density_kg_m3=5515 raw_formation_energy_kj_per_mol_atoms=-219.4 pbc="T T T"
Pm 2.056 0.000 1.807
Pm 2.047 2.158 5.229
Pm 6.794 2.158 1.807
Pm 6.785 0.000 5.229
As 0.151 0.000 6.099
As 3.952 2.158 0.938
As 4.889 2.158 6.099
As 8.690 0.000 0.938
F 1.659 2.158 2.842
F 2.445 0.000 4.195
F 6.396 0.000 2.842
F 7.182 2.158 4.195



Record 10
16
Lattice="6.996 0.000 0.000 0.000 6.996 0.000 0.000 0.000 6.996" Properties=species:S:1:pos:R:3 comment="PBE Pm2AsF, optimized geometry" space_group=Fm-3m e_above_lowest_polymorph_mev_per_atom=251 density_kg_m3=7447 raw_formation_energy_kj_per_mol_atoms=-161.4 pbc="T T T"
Pm 1.749 1.749 1.749
Pm 1.749 1.749 5.247
Pm 1.749 5.247 1.749
Pm 1.749 5.247 5.247
Pm 5.247 1.749 1.749
Pm 5.247 1.749 5.247
Pm 5.247 5.247 1.749
Pm 5.247 5.247 5.247
As 0.000 0.000 0.000
As 0.000 3.498 3.498
As 3.498 0.000 3.498
As 3.498 3.498 0.000
F 0.000 0.000 3.498
F 0.000 3.498 0.000
F 3.498 0.000 0.000
F 3.498 3.498 3.498



Record 11
3
Lattice="4.034 0.000 0.000 -2.017 3.494 0.000 0.000 0.000 4.407" Properties=species:S:1:pos:R:3 comment="PBE PmAsF, optimized geometry" space_group=P-6m2 e_above_lowest_polymorph_mev_per_atom=230 density_kg_m3=6388 raw_formation_energy_kj_per_mol_atoms=-205.8 pbc="T T T"
Pm 0.000 0.000 0.000
As 2.017 1.165 2.203
F 0.000 2.329 0.000



Record 12
4
Lattice="4.852 0.000 0.000 0.000 4.852 0.000 0.000 0.000 3.697" Properties=species:S:1:pos:R:3 comment="PBE Pm2AsF, optimized geometry" space_group=P4/mmm e_above_lowest_polymorph_mev_per_atom=357 density_kg_m3=7327 raw_formation_energy_kj_per_mol_atoms=-151.2 pbc="T T T"
Pm 0.000 2.426 0.000
Pm 2.426 0.000 0.000
As 0.000 0.000 1.848
F 2.426 2.426 1.848